NiOs3: PBEsol geometry, meta-GGA SCAN.

As for the formation energy: 0.1036 eV/atom.

Cell and atoms, written as CIF:
```
data_NiOs3
_cell_length_a 2.7099
_cell_length_b 2.7099
_cell_length_c 8.3490
_cell_angle_alpha 90.00
_cell_angle_beta 90.00
_cell_angle_gamma 120.00
_symmetry_space_group_name_H-M 'P -6 m 2'
_symmetry_Int_Tables_number 187
_symmetry_space_group_name_Hall 'P -6 2'
loop_
_atom_site_label
_atom_site_type_symbol
_atom_site_fract_x
_atom_site_fract_y
_atom_site_fract_z
Ni1 Ni 0.0000 0.0000 0.0000
Os1 Os 0.0000 0.0000 0.5000
Os2 Os 0.6667 0.3333 0.2453
```

***

BaBr: PBEsol geometry, meta-GGA SCAN.

Cell and atoms, written as CIF:
```
data_BaBr
_cell_length_a 5.1534
_cell_length_b 5.1534
_cell_length_c 8.3351
_cell_angle_alpha 90.00
_cell_angle_beta 90.00
_cell_angle_gamma 120.00
_symmetry_space_group_name_H-M 'P -3 m 1'
_symmetry_Int_Tables_number 164
_symmetry_space_group_name_Hall '-P 3 2"'
loop_
_atom_site_label
_atom_site_type_symbol
_atom_site_fract_x
_atom_site_fract_y
_atom_site_fract_z
Ba1 Ba 0.3333 0.6667 0.2224
Br1 Br 0.3333 0.6667 0.6321
```

***

no.,VASP energy (eV per atom),spin magnetization (μB/f.u.)
1,-57.85,0.00
2,-31.20,0.00